# Ce2ThCr2N6 (PBE-GGA, optimized geometry)
# Formation energy (no corrections), eV per atom: -0.883
# DFT total energy, eV per atom: -8.927
data_Ce2ThCr2N6
_symmetry_space_group_name_H-M 'R -3 m'
_symmetry_Int_Tables_number 166
_symmetry_space_group_name_Hall '-R 3 2"'
_cell_length_a 5.6304
_cell_length_b 5.6304
_cell_length_c 18.3612
_cell_angle_alpha 90.00
_cell_angle_beta 90.00
_cell_angle_gamma 120.00
loop_
_atom_site_label
_atom_site_type_symbol
_atom_site_fract_x
_atom_site_fract_y
_atom_site_fract_z
_atom_site_occupancy
Ce1 Ce 0.0000 0.0000 0.2053 1
Th1 Th 0.0000 0.0000 0.0000 1
Cr1 Cr 0.0000 0.0000 0.4074 1
N1 N 0.0045 0.5023 0.7653 1